No. 1
A relaxed VHgH2 crystal. Source: Alexandria, functional PBE.

Lattice parameters (Å, degrees): 4.352 4.352 9.830 90.00 90.00 90.00
Space group I-42d (No. 122)
Symmetry-distinct sites (fractional):
V: 0.000 0.000 0.000
Hg: 0.000 0.000 0.500
H: 0.101 0.250 0.125

Polymorph energy (0 for the lowest one) ... 0.00 kJ/mol of atoms

No. 2
A relaxed V2HgH2 crystal. Source: Alexandria, functional PBE.

Lattice parameters (Å, degrees): 3.375 3.375 9.268 90.00 90.00 90.00
Space group I4/mmm (No. 139)
Symmetry-distinct sites (fractional):
V: 0.000 0.000 0.180
Hg: 0.000 0.000 0.500
H: 0.000 0.500 0.250

Final energy ... -5.058 eV per atom

No. 3
A relaxed V2Hg2H crystal. Source: Alexandria, functional PBE.

Lattice parameters (Å, degrees): 7.730 7.730 3.142 90.00 90.00 90.00
Space group P4/mbm (No. 127)
Symmetry-distinct sites (fractional):
V: 0.085 0.415 0.000
Hg: 0.208 0.708 0.500
H: 0.000 0.000 0.500

Polymorph energy (0 for the lowest one) ... 10.71 kJ/mol of atoms

No. 4
A relaxed VHg2H crystal. Source: Alexandria, functional PBE.

Lattice parameters (Å, degrees): 6.935 6.935 5.630 90.00 90.00 90.00
Space group I-42d (No. 122)
Symmetry-distinct sites (fractional):
V: 0.000 0.000 0.000
Hg: 0.182 0.750 0.625
H: 0.000 0.000 0.500

Polymorph energy (0 for the lowest one) ... 0.00 kJ/mol of atoms

No. 5
A relaxed VHgH3 crystal. Source: Alexandria, functional PBE.

Lattice parameters (Å, degrees): 3.635 3.635 3.635 90.00 90.00 90.00
Space group Pm-3m (No. 221)
Symmetry-distinct sites (fractional):
V: 0.000 0.000 0.000
Hg: 0.500 0.500 0.500
H: 0.000 0.000 0.500

Polymorph energy (0 for the lowest one) ... 0.00 kJ/mol of atoms

No. 6
A relaxed V3HgH crystal. Source: Alexandria, functional PBE.

Lattice parameters (Å, degrees): 5.115 5.115 5.115 90.00 90.00 90.00
Space group Pm-3m (No. 221)
Symmetry-distinct sites (fractional):
V: 0.000 0.000 0.500
Hg: 0.000 0.000 0.000
H: 0.500 0.500 0.500

Polymorph energy (0 for the lowest one) ... 195.81 kJ/mol of atoms

DOS(E_F) values, unit states/eV per atom, following the record order: 0.82, 0.52, 0.77, 0.85, 0.41, 2.82.